Y6Er2In | PBE | relaxed Values from VASP.

```
&SYSTEM
  ibrav = 0, nat = 9, ntyp = 3
/
ATOMIC_SPECIES
Y 88.91 Y.upf
Er 167.26 Er.upf
In 114.82 In.upf
CELL_PARAMETERS angstrom
-1.743 5.070 7.967
1.743 -5.070 7.967
1.743 5.070 -7.967
ATOMIC_POSITIONS crystal
Y 0.014 0.176 0.837
Y 0.305 0.500 0.805
Y 0.339 0.176 0.163
Y 0.661 0.824 0.837
Y 0.695 0.500 0.195
Y 0.986 0.824 0.163
Er 0.345 0.845 0.500
Er 0.655 0.155 0.500
In 0.000 0.000 0.000
```

Properties
E_tot ... -0.414 Ry per atom
SG ... Immm